1.
{"formula": "PmSmCuPt", "functional": "PBE", "state": "optimized geometry", "magnetic_moment_mub_per_atom": 0.00, "formation_energy_kj_per_mol_atoms": -69.3, "sg": "Amm2 (38)", "e_above_lowest_polymorph_mev_per_atom": 0.0, "lattice": [[-0.391, -2.736, 2.743], [3.906, 1.301, 1.855], [-2.442, 4.859, 1.735]], "species": ["Pt", "Pm", "Sm", "Cu"], "frac_coords": [[0.577, 0.500, 0.154], [0.861, 0.500, 0.722], [0.138, 0.000, 0.275], [0.424, 0.000, 0.848]]}

2.
{"formula": "PmCuSnPt3", "functional": "PBE", "state": "optimized geometry", "magnetic_moment_mub_per_atom": 0.00, "formation_energy_kj_per_mol_atoms": -51.9, "sg": "Cmcm (63)", "lattice": [[7.358, 0.000, 0.000], [0.000, 5.711, 0.000], [0.000, -2.856, 5.883]], "species": ["Pt", "Pt", "Pt", "Pt", "Pt", "Pt", "Pm", "Pm", "Cu", "Cu", "Sn", "Sn"], "frac_coords": [[0.000, 0.250, 0.000], [0.500, 0.750, 0.000], [0.250, 0.150, 0.299], [0.000, 0.750, 0.000], [0.500, 0.250, 0.000], [0.750, 0.850, 0.701], [0.250, 0.672, 0.343], [0.750, 0.328, 0.657], [0.250, 0.918, 0.836], [0.750, 0.082, 0.164], [0.250, 0.372, 0.743], [0.750, 0.628, 0.257]]}

3.
{"formula": "Pm2CuSn4Pt3", "functional": "PBE", "state": "optimized geometry", "magnetic_moment_mub_per_atom": 0.00, "formation_energy_kj_per_mol_atoms": -71.4, "sg": "P-4m2 (115)", "lattice": [[-2.519, -2.668, 2.664], [-2.336, -1.410, -3.621], [7.117, -8.137, -1.422]], "species": ["Pt", "Pt", "Pt", "Sn", "Sn", "Sn", "Sn", "Pm", "Pm", "Cu"], "frac_coords": [[0.500, 0.000, 0.867], [0.000, 0.500, 0.133], [0.000, 0.000, 0.500], [0.000, 0.000, 0.000], [0.000, 0.500, 0.372], [0.500, 0.000, 0.628], [0.500, 0.500, 0.000], [0.000, 0.500, 0.733], [0.500, 0.000, 0.267], [0.500, 0.500, 0.500]]}

4.
{"formula": "TbPmCuPt", "functional": "PBE", "state": "optimized geometry", "magnetic_moment_mub_per_atom": 0.00, "formation_energy_kj_per_mol_atoms": -72.2, "sg": "Amm2 (38)", "e_above_lowest_polymorph_mev_per_atom": 0.0, "lattice": [[-2.984, 1.201, -2.111], [0.747, -3.290, -2.926], [-1.769, -3.815, 3.838]], "species": ["Pm", "Tb", "Cu", "Pt"], "frac_coords": [[0.860, 0.500, 0.720], [0.137, 0.000, 0.274], [0.424, 0.000, 0.848], [0.579, 0.500, 0.158]]}